PmThRu2 | PBE | optimized geometry

Cell: 3.5276 3.5276 7.0698 Å, 90.00 90.00 90.00°
Closest atoms and distances in Å follow each position.
Fractional positions:
Pm 0.5000 0.5000 0.5000  8 Ru 3.14
Th 0.5000 0.5000 0.0000  8 Ru 2.98
Ru 0.0000 0.0000 0.2306  4 Th 2.98, 4 Pm 3.14, 1 Ru 3.26
Ru 0.0000 0.0000 0.7694  4 Th 2.98, 4 Pm 3.14, 1 Ru 3.26

Properties
The value obtained for the formation energy is -1.26 eV/f.u. The density of states at the Fermi level comes out at 1.25 states/eV/cell.